No. 1
A plane-wave DFT calculation with PBE was carried out for a relaxed Tm5Mg4Ni2 crystal.

Final energy: -3.91 eV/atom
Calculated volume: 23.264 Å³/atom
Symmetry: Pbam
E_form: -0.24 eV/atom

Cell: 3.495 8.008 18.289 Å, 90.00 90.00 90.00°
Positions (direct):
Tm: 0.000 0.370 0.406
Tm: 0.000 0.225 0.222
Tm: 0.000 0.130 0.906
Tm: 0.000 0.000 0.500
Tm: 0.000 0.630 0.594
Tm: 0.000 0.500 0.000
Tm: 0.000 0.275 0.722
Tm: 0.000 0.725 0.278
Tm: 0.000 0.775 0.778
Tm: 0.000 0.870 0.094
Ni: 0.500 0.050 0.800
Ni: 0.500 0.550 0.700
Ni: 0.500 0.950 0.200
Ni: 0.500 0.450 0.300
Mg: 0.500 0.545 0.151
Mg: 0.500 0.455 0.849
Mg: 0.500 0.696 0.434
Mg: 0.500 0.804 0.934
Mg: 0.500 0.196 0.066
Mg: 0.500 0.045 0.349
Mg: 0.500 0.304 0.566
Mg: 0.500 0.955 0.651


No. 2
A plane-wave DFT calculation with PBE was carried out for a relaxed BaYRe2 crystal.

Final energy: -7.17 eV/atom
Calculated volume: 22.342 Å³/atom
Symmetry: P4/mmm
E_form: 1.15 eV/atom

Cell: 2.948 2.948 10.280 Å, 90.00 90.00 90.00°
Positions (direct):
Re: 0.000 0.000 0.023
Re: 0.000 0.000 0.477
Y: 0.500 0.500 0.250
Ba: 0.500 0.500 0.750


No. 3
A plane-wave DFT calculation with PBE was carried out for a relaxed TlRe3Mo crystal.

Final energy: -7.93 eV/atom
Calculated volume: 21.684 Å³/atom
Symmetry: Pm-3m
E_form: 2.18 eV/atom

Cell: 4.768 4.768 4.768 Å, 90.00 90.00 90.00°
Last column: magnetic moment on the atom in μB.
Positions (direct):
Re: 0.000 0.500 0.000  0.71
Re: 0.500 0.000 0.000  0.74
Re: 0.000 0.000 0.500  0.76
Tl: 0.500 0.500 0.500  0.02
Mo: 0.000 0.000 0.000  -0.14


No. 4
A plane-wave DFT calculation with PBE was carried out for a relaxed Li2YPt2 crystal.

Final energy: -5.18 eV/atom
Calculated volume: 16.211 Å³/atom
Symmetry: P4/mbm
E_form: -0.71 eV/atom

Cell: 7.356 7.356 2.996 Å, 90.00 90.00 90.00°
Positions (direct):
Li: 0.610 0.110 0.000
Li: 0.110 0.390 0.000
Li: 0.890 0.610 0.000
Li: 0.390 0.890 0.000
Pt: 0.185 0.685 0.500
Pt: 0.815 0.315 0.500
Pt: 0.685 0.815 0.500
Pt: 0.315 0.185 0.500
Y: 0.500 0.500 0.000
Y: 0.000 0.000 0.000


No. 5
A plane-wave DFT calculation with PBE was carried out for a relaxed Ce6Fe2Bi crystal.

Final energy: -6.50 eV/atom
Calculated volume: 24.138 Å³/atom
Symmetry: C2/m
E_form: -0.24 eV/atom

Cell: 4.633 5.852 8.731 Å, 91.97 90.00 113.32°
Last column: magnetic moment on the atom in μB.
Positions (direct):
Ce: 0.714 0.429 0.629  0.18
Ce: 0.586 0.171 0.176  0.30
Ce: 0.414 0.829 0.824  0.30
Ce: 0.089 0.178 0.867  0.16
Ce: 0.286 0.571 0.371  0.18
Ce: 0.911 0.822 0.133  0.16
Bi: 0.000 0.000 0.500  -0.01
Fe: 0.744 0.488 0.877  -0.11
Fe: 0.256 0.512 0.123  -0.11


No. 6
A plane-wave DFT calculation with PBE was carried out for a relaxed AcSm2Ho5Er crystal.

Final energy: -4.29 eV/atom
Calculated volume: 33.470 Å³/atom
Symmetry: I4/mcm
E_form: 0.27 eV/atom

Cell: 8.866 8.866 9.902 Å, 116.59 116.59 90.00°
Positions (direct):
Ho: 0.926 0.426 0.263
Ho: 0.500 0.500 0.000
Ho: 0.163 0.074 0.737
Ho: 0.000 0.000 0.000
Ho: 0.837 0.926 0.263
Ho: 0.337 0.837 0.263
Ho: 0.426 0.337 0.263
Ho: 0.074 0.574 0.737
Ho: 0.574 0.663 0.737
Ho: 0.663 0.163 0.737
Er: 0.750 0.250 0.500
Er: 0.250 0.750 0.500
Sm: 0.115 0.385 0.000
Sm: 0.615 0.115 0.000
Sm: 0.385 0.885 0.000
Sm: 0.885 0.615 0.000
Ac: 0.250 0.250 0.500
Ac: 0.750 0.750 0.500


No. 7
A plane-wave DFT calculation with PBE was carried out for a relaxed Tl2CuP crystal.

Final energy: -3.41 eV/atom
Calculated volume: 28.575 Å³/atom
Symmetry: Imm2
E_form: 0.15 eV/atom

Cell: 7.332 7.332 7.332 Å, 147.57 147.13 46.85°
Positions (direct):
P: 0.348 0.848 0.500
Tl: 0.737 0.237 0.500
Tl: 0.011 0.011 0.000
Cu: 0.404 0.404 0.000


No. 8
A plane-wave DFT calculation with PBE was carried out for a relaxed LiErTlIn crystal.

Final energy: -3.23 eV/atom
Calculated volume: 23.869 Å³/atom
Symmetry: F-43m
E_form: -0.33 eV/atom

Cell: 5.130 5.130 5.130 Å, 60.00 60.00 60.00°
Positions (direct):
In: 0.750 0.750 0.750
Er: 0.500 0.500 0.500
Li: 0.000 0.000 0.000
Tl: 0.250 0.250 0.250


No. 9
A plane-wave DFT calculation with PBE was carried out for a relaxed K2AcBr6 crystal.

Final energy: -3.44 eV/atom
ΔE_f (raw): -14.61 eV/f.u.
Calculated volume: 34.728 Å³/atom
Symmetry: Amm2

Cell: 4.791 8.561 8.740 Å, 119.32 90.00 90.00°
Last column: magnetic moment on the atom in μB.
Positions (direct):
Br: 0.500 0.994 0.628  0.13
Br: 0.500 0.366 0.372  0.13
Br: 0.000 0.255 0.000  0.07
Br: 0.000 0.996 0.241  0.14
Br: 0.500 0.637 0.000  0.20
Br: 0.000 0.755 0.759  0.14
K: 0.000 0.665 0.342  0.00
K: 0.000 0.323 0.658  0.00
Ac: 0.500 0.008 0.000  -0.01


No. 10
A plane-wave DFT calculation with PBE was carried out for a relaxed Ca3Zn2Hg crystal.

Final energy: -1.81 eV/atom
Calculated volume: 25.669 Å³/atom
Symmetry: P4/mmm
E_form: -0.34 eV/atom

Cell: 3.732 3.732 11.057 Å, 90.00 90.00 90.00°
Positions (direct):
Hg: 0.500 0.500 0.500
Ca: 0.000 0.000 0.000
Ca: 0.000 0.000 0.673
Ca: 0.000 0.000 0.327
Zn: 0.500 0.500 0.839
Zn: 0.500 0.500 0.161


No. 11
A plane-wave DFT calculation with PBE was carried out for a relaxed LiNiSbRu2 crystal.

Final energy: -5.08 eV/atom
ΔE_f (raw): 4.95 eV/f.u.
Calculated volume: 19.739 Å³/atom
Symmetry: P4/mmm

Cell: 4.599 4.666 4.599 Å, 90.00 90.00 90.00°
Last column: magnetic moment on the atom in μB.
Positions (direct):
Sb: 0.000 0.500 0.000  0.02
Ru: 0.500 0.000 0.000  1.16
Ru: 0.000 0.000 0.500  1.62
Ni: 0.000 0.000 0.000  0.69
Li: 0.500 0.500 0.500  -0.01


No. 12
A plane-wave DFT calculation with PBE was carried out for a relaxed La2Dy12Er5 crystal.

Final energy: -4.54 eV/atom
Calculated volume: 32.310 Å³/atom
Symmetry: P-1
E_form: 0.09 eV/atom

Cell: 6.752 12.970 12.296 Å, 139.43 68.01 118.75°
Positions (direct):
Er: 0.000 0.000 0.500
Er: 0.586 0.218 0.678
Er: 0.603 0.749 0.765
Er: 0.397 0.251 0.235
Er: 0.414 0.782 0.322
Dy: 0.388 0.969 0.197
Dy: 0.872 0.032 0.281
Dy: 0.612 0.031 0.803
Dy: 0.710 0.391 0.525
Dy: 0.074 0.358 0.944
Dy: 0.128 0.968 0.719
Dy: 0.926 0.642 0.056
Dy: 0.483 0.387 0.071
Dy: 0.517 0.613 0.929
Dy: 0.150 0.406 0.639
Dy: 0.850 0.594 0.361
Dy: 0.290 0.609 0.475
La: 0.919 0.189 0.116
La: 0.081 0.811 0.884


No. 13
A plane-wave DFT calculation with PBE was carried out for a relaxed Al5Cu4Pd crystal.

Final energy: -4.34 eV/atom
Calculated volume: 13.643 Å³/atom
Symmetry: P4/mmm
E_form: -0.31 eV/atom

Cell: 3.090 3.090 14.286 Å, 90.00 90.00 90.00°
Positions (direct):
Cu: 0.000 0.000 0.793
Cu: 0.000 0.000 0.402
Cu: 0.000 0.000 0.207
Cu: 0.000 0.000 0.598
Al: 0.500 0.500 0.697
Al: 0.500 0.500 0.105
Al: 0.500 0.500 0.303
Al: 0.500 0.500 0.895
Al: 0.500 0.500 0.500
Pd: 0.000 0.000 0.000


No. 14
A plane-wave DFT calculation with PBE was carried out for a relaxed Cs2Tl4CdHg3 crystal.

Final energy: -1.41 eV/atom
Calculated volume: 36.768 Å³/atom
Symmetry: P-4m2
E_form: -0.11 eV/atom

Cell: 5.318 5.318 13.001 Å, 90.00 90.00 90.00°
Positions (direct):
Hg: 0.000 0.500 0.133
Hg: 0.500 0.000 0.867
Hg: 0.000 0.000 0.500
Tl: 0.000 0.500 0.379
Tl: 0.000 0.000 0.000
Tl: 0.500 0.500 0.000
Tl: 0.500 0.000 0.621
Cs: 0.500 0.000 0.253
Cs: 0.000 0.500 0.747
Cd: 0.500 0.500 0.500


No. 15
A plane-wave DFT calculation with PBE was carried out for a relaxed MgHg2Bi crystal.

Final energy: -1.59 eV/atom
Calculated volume: 25.679 Å³/atom
Symmetry: R-3m
E_form: -0.07 eV/atom

Cell: 3.559 3.559 9.586 Å, 79.30 79.30 60.00°
Positions (direct):
Bi: 0.500 0.500 0.500
Mg: 0.000 0.000 0.000
Hg: 0.740 0.740 0.779
Hg: 0.260 0.260 0.221


No. 16
A plane-wave DFT calculation with PBE was carried out for a relaxed TiAlVTcRh crystal.

Final energy: -8.29 eV/atom
Calculated volume: 14.302 Å³/atom
Symmetry: R3m
E_form: -0.60 eV/atom

Cell: 4.232 4.232 13.834 Å, 90.00 90.00 120.00°
Positions (direct):
V: 0.333 0.667 0.557
V: 0.000 0.000 0.891
V: 0.667 0.333 0.224
Rh: 0.667 0.333 0.032
Rh: 0.333 0.667 0.365
Rh: 0.000 0.000 0.699
Ti: 0.667 0.333 0.636
Ti: 0.333 0.667 0.970
Ti: 0.000 0.000 0.303
Al: 0.667 0.333 0.433
Al: 0.333 0.667 0.766
Al: 0.000 0.000 0.099
Tc: 0.333 0.667 0.168
Tc: 0.667 0.333 0.835
Tc: 0.000 0.000 0.501


| no. | magnetization (μB/cell) |
| --- | --- |
| 1 | 0.00 |
| 2 | 0.00 |
| 3 | 2.37 |
| 4 | 0.00 |
| 5 | 1.33 |
| 6 | 0.00 |
| 7 | 0.00 |
| 8 | 0.00 |
| 9 | 1.08 |
| 10 | 0.00 |
| 11 | 3.62 |
| 12 | 0.00 |
| 13 | 0.00 |
| 14 | 0.00 |
| 15 | 0.00 |
| 16 | 0.00 |